A plane-wave DFT calculation with PBE was carried out for a relaxed structure of Rb8Na2Cd.

Lattice parameters (Å, degrees): 24.1769 7.0695 9.5341 90.00 108.48 90.00
Space group C2/m (No. 12)
Inequivalent atoms, fractional coordinates:
Rb 0.0187 0.0000 0.2881 (multiplicity 4)
Rb 0.0935 0.5000 0.9286 (multiplicity 4)
Rb 0.1530 0.5000 0.4548 (multiplicity 4)
Rb 0.2020 0.0000 0.7863 (multiplicity 4)
Na 0.1812 0.0000 0.2072 (multiplicity 4)
Cd 0.0000 0.5000 0.5000 (multiplicity 2)

Spin magnetization ... 0.00 μB/cell
D(E_F) ... 7.81 states/eV/f.u.
Formation energy ... 0.02 eV/atom

=====

A plane-wave DFT calculation with PBE was carried out for a relaxed structure of HoTmCdAu.

Lattice parameters (Å, degrees): 7.2689 7.2689 7.2689 90.00 90.00 90.00
Space group F-43m (No. 216)
Inequivalent atoms, fractional coordinates:
Ho 0.0000 0.0000 0.0000 (multiplicity 4)
Tm 0.0000 0.0000 0.5000 (multiplicity 4)
Cd 0.2500 0.2500 0.7500 (multiplicity 4)
Au 0.2500 0.2500 0.2500 (multiplicity 4)

Spin magnetization ... 0.00 μB/cell
Energy relative to the lowest polymorph listed for this composition ... 2.9 kJ per mole of atoms
D(E_F) ... 3.91 states/eV/f.u.
Formation energy ... -0.57 eV/atom